Entry one
A relaxed CoCuSiGe crystal, computed with PBE.

a b c (Å): 5.9428 5.9428 5.9428
angles (deg): 90.00 90.00 90.00
Space group F-43m (No. 216)
Symmetry-distinct sites (fractional):
Co1 0.0000 0.0000 0.0000 x4
Cu1 0.2500 0.2500 0.7500 x4
Si1 0.2500 0.2500 0.2500 x4
Ge1 0.0000 0.0000 0.5000 x4

Output
Total moment = 0.00 μB per atom
Crystal system = cubic

---

Entry two
A relaxed CoCuSiGe crystal, computed with PBE.

a b c (Å): 5.8710 5.8710 5.8710
angles (deg): 90.00 90.00 90.00
Space group F-43m (No. 216)
Symmetry-distinct sites (fractional):
Co1 0.0000 0.0000 0.0000 x4
Cu1 0.0000 0.0000 0.5000 x4
Si1 0.2500 0.2500 0.7500 x4
Ge1 0.2500 0.2500 0.2500 x4

Output
Total moment = 0.00 μB per atom
Crystal system = cubic

---

Relative stability in kJ/mol of atoms, measured from the most stable structure: entry one 20.4; entry two 0.0

---

Entry one
A relaxed TaCoCuGe crystal, computed with PBE.

a b c (Å): 6.0453 6.0453 6.0453
angles (deg): 90.00 90.00 90.00
Space group F-43m (No. 216)
Symmetry-distinct sites (fractional):
Ta1 0.0000 0.0000 0.0000 x4
Co1 0.0000 0.0000 0.5000 x4
Cu1 0.2500 0.2500 0.7500 x4
Ge1 0.2500 0.2500 0.2500 x4

Output
Total moment = 0.26 μB per atom
Crystal system = cubic

---

Entry two
A relaxed TaCoCuGe crystal, computed with PBE.

a b c (Å): 6.0189 6.0189 6.0189
angles (deg): 90.00 90.00 90.00
Space group F-43m (No. 216)
Symmetry-distinct sites (fractional):
Ta1 0.0000 0.0000 0.0000 x4
Co1 0.2500 0.2500 0.7500 x4
Cu1 0.2500 0.2500 0.2500 x4
Ge1 0.0000 0.0000 0.5000 x4

Output
Total moment = 0.00 μB per atom
Crystal system = cubic

---

Relative stability in kJ/mol of atoms, measured from the most stable structure: entry one 9.7; entry two 0.0

---

Entry one
A relaxed CoCuGeW crystal, computed with PBE.

a b c (Å): 5.9704 5.9704 5.9704
angles (deg): 90.00 90.00 90.00
Space group F-43m (No. 216)
Symmetry-distinct sites (fractional):
Co1 0.0000 0.0000 0.0000 x4
Cu1 0.2500 0.2500 0.2500 x4
Ge1 0.2500 0.2500 0.7500 x4
W1 0.0000 0.0000 0.5000 x4

Output
Total moment = 0.29 μB per atom
Crystal system = cubic

---

Entry two
A relaxed CoCuGeW crystal, computed with PBE.

a b c (Å): 5.9577 5.9577 5.9577
angles (deg): 90.00 90.00 90.00
Space group F-43m (No. 216)
Symmetry-distinct sites (fractional):
Co1 0.0000 0.0000 0.0000 x4
Cu1 0.0000 0.0000 0.5000 x4
Ge1 0.2500 0.2500 0.7500 x4
W1 0.2500 0.2500 0.2500 x4

Output
Total moment = 0.07 μB per atom
Crystal system = cubic

---

Relative stability in kJ/mol of atoms, measured from the most stable structure: entry one 0.0; entry two 4.7

---

Entry one
A relaxed YCoCuGe crystal, computed with PBE.

a b c (Å): 6.3102 6.3102 6.3102
angles (deg): 90.00 90.00 90.00
Space group F-43m (No. 216)
Symmetry-distinct sites (fractional):
Y1 0.0000 0.0000 0.0000 x4
Co1 0.2500 0.2500 0.7500 x4
Cu1 0.2500 0.2500 0.2500 x4
Ge1 0.0000 0.0000 0.5000 x4

Output
Total moment = 0.02 μB per atom
Crystal system = cubic

---

Entry two
A relaxed YCoCuGe crystal, computed with PBE.

a b c (Å): 6.4689 6.4689 6.4689
angles (deg): 90.00 90.00 90.00
Space group F-43m (No. 216)
Symmetry-distinct sites (fractional):
Y1 0.0000 0.0000 0.0000 x4
Co1 0.2500 0.2500 0.7500 x4
Cu1 0.0000 0.0000 0.5000 x4
Ge1 0.2500 0.2500 0.2500 x4

Output
Total moment = 0.35 μB per atom
Crystal system = cubic

---

Relative stability in kJ/mol of atoms, measured from the most stable structure: entry one 0.0; entry two 17.3